## KMo2Au (PBE)

Data for crystalline KMo2Au at its relaxed geometry.

Cell lengths 3.1540, 5.5668, 10.0402 Å; angles 90.00, 90.00, 90.00 degrees
Closest atoms and distances in Å follow each position.
Space group Imm2 (No. 44)
Inequivalent atoms, fractional coordinates:
K 0.0000 0.0000 0.0000 (multiplicity 2)  2 K 3.15, 8 Mo 3.22-3.49, 4 Au 3.32-3.49
Mo 0.0000 0.0000 0.4604 (multiplicity 2)  2 Mo 2.33
Mo 0.0000 0.5000 0.7902 (multiplicity 2)  2 Mo 2.33
Au 0.0000 0.5000 0.2091 (multiplicity 2)  6 Mo 2.95-3.30, 2 Au 3.15

Output
The value obtained for the excess energy over the best structure of this formula in the dataset is 397.8 meV/atom. The value obtained for the final energy is -5.60 eV/atom. The value obtained for the formation energy is 0.906 eV/atom.